The following is a DFT calculation (PBE) of a relaxed Pu2Si7Tc12 crystal.

Cell lengths 3.0637, 10.8614, 10.8614 Å; angles 120.00, 90.00, 90.00 degrees
Last column: nearest neighbours and their distance in Å.
Positions (direct):
Pu 0.2447 0.3333 0.6667  6 Si 2.96, 6 Tc 3.01-3.03, 2 Pu 3.06
Pu 0.7553 0.6667 0.3333  6 Si 2.96, 6 Tc 3.01-3.03, 2 Pu 3.06
Si 0.5000 0.0000 0.0000  6 Tc 2.49
Si 0.2552 0.8810 0.2998  6 Tc 2.45-2.60
Si 0.2552 0.4188 0.1190  6 Tc 2.45-2.60
Si 0.2552 0.7002 0.5812  6 Tc 2.45-2.60
Si 0.7448 0.1190 0.7002  6 Tc 2.45-2.60
Si 0.7448 0.5812 0.8810  6 Tc 2.45-2.60
Si 0.7448 0.2998 0.4188  6 Tc 2.45-2.60
Tc 0.2495 0.6283 0.0764  4 Si 2.45-2.60
Tc 0.2495 0.4481 0.3717  4 Si 2.45-2.60
Tc 0.2495 0.9236 0.5519  4 Si 2.45-2.60
Tc 0.7505 0.3717 0.9236  4 Si 2.45-2.60
Tc 0.7505 0.5519 0.6283  4 Si 2.45-2.60
Tc 0.7505 0.0764 0.4481  4 Si 2.45-2.60
Tc 0.2454 0.1104 0.2503  3 Si 2.48-2.49
Tc 0.2454 0.1399 0.8896  3 Si 2.48-2.49
Tc 0.2454 0.7497 0.8600  3 Si 2.48-2.49
Tc 0.7546 0.8896 0.7497  3 Si 2.48-2.49
Tc 0.7546 0.8601 0.1104  3 Si 2.48-2.49
Tc 0.7546 0.2503 0.1400  3 Si 2.48-2.49

Properties
For the total DFT energy (no corrections), the calculation gives -9.427 eV per atom. For the formation energy without anion corrections, the calculation gives -0.3307 eV per atom. For the density of states at the Fermi level, the calculation gives 30.1 states/eV/f.u.